# Ac2As3Rh2 PBE optimized geometry
# * formation enthalpy at 0 K: -772 meV per atom
# * density of states at the Fermi level: 4.7 states/eV per cell
# * energy: -0.2219 hartree per atom
data_Ac2As3Rh2
_symmetry_space_group_name_H-M 'P 1'
_symmetry_Int_Tables_number 1
_cell_length_a 4.469
_cell_length_b 6.020
_cell_length_c 6.693
_cell_angle_alpha 104.84
_cell_angle_beta 90.00
_cell_angle_gamma 111.79
loop_
_symmetry_equiv_pos_as_xyz
'x,y,z'
loop_
_atom_site_label
_atom_site_type_symbol
_atom_site_fract_x
_atom_site_fract_y
_atom_site_fract_z
As1 As 0.635 0.271 0.441
As2 As 0.365 0.729 0.559
As3 As 0.500 0.000 0.000
Ac1 Ac 0.137 0.274 0.786
Ac2 Ac 0.863 0.726 0.214
Rh1 Rh 0.146 0.293 0.279
Rh2 Rh 0.854 0.707 0.721